Record 1
# ZnSi2Se (PBE, optimized geometry)
data_ZnSi2Se
_chemical_formula_sum 'Zn2 Si4 Se2'
_space_group_name_H-M_alt 'P 1'
_space_group_IT_number 1
_space_group_name_Hall 'P 1'
_cell_length_a 3.590
_cell_length_b 3.590
_cell_length_c 11.550
_cell_angle_alpha 90.00
_cell_angle_beta 90.00
_cell_angle_gamma 90.00
loop_
_atom_site_label
_atom_site_fract_x
_atom_site_fract_y
_atom_site_fract_z
Zn1 0.000 0.000 0.000
Zn2 0.500 0.500 0.500
Si1 0.000 0.500 0.250
Si2 0.000 0.500 0.750
Si3 0.500 0.000 0.250
Si4 0.500 0.000 0.750
Se1 0.000 0.000 0.500
Se2 0.500 0.500 0.000
# ΔE_f (raw) ... 8.3 kcal/mol of atoms
# Density of states at the Fermi level ... 3.5 states/eV per cell
# Total magnetic moment ... 0.0 Bohr magnetons per cell
# Energy relative to the lowest polymorph listed for this composition ... 0.346 eV/atom
# Raw total energy ... -3.5431 eV/atom



Record 2
# Tc3NiSn (PBE, optimized geometry)
data_Tc3NiSn
_chemical_formula_sum 'Tc3 Ni1 Sn1'
_space_group_name_H-M_alt 'P 1'
_space_group_IT_number 1
_space_group_name_Hall 'P 1'
_cell_length_a 4.493
_cell_length_b 4.493
_cell_length_c 4.493
_cell_angle_alpha 90.00
_cell_angle_beta 90.00
_cell_angle_gamma 90.00
loop_
_atom_site_label
_atom_site_fract_x
_atom_site_fract_y
_atom_site_fract_z
Tc1 0.000 0.000 0.500
Tc2 0.000 0.500 0.000
Tc3 0.500 0.000 0.000
Ni1 0.000 0.000 0.000
Sn1 0.500 0.500 0.500
# Density of states at the Fermi level ... 6.4 states/eV per cell
# ΔE_f ... 1209.1 meV per atom
# Total magnetic moment ... 4.3 Bohr magnetons per cell
# Energy relative to the lowest polymorph listed for this composition ... 0.000 eV/atom
# Raw total energy ... -6.9673 eV/atom



Record 3
# RbUCdBr6 (PBE, optimized geometry)
data_RbUCdBr6
_chemical_formula_sum 'Rb2 U2 Cd2 Br12'
_space_group_name_H-M_alt 'P 1'
_space_group_IT_number 1
_space_group_name_Hall 'P 1'
_cell_length_a 7.527
_cell_length_b 7.527
_cell_length_c 14.923
_cell_angle_alpha 90.00
_cell_angle_beta 90.00
_cell_angle_gamma 120.00
loop_
_atom_site_label
_atom_site_fract_x
_atom_site_fract_y
_atom_site_fract_z
Rb1 0.000 0.000 0.000
Rb2 0.000 0.000 0.500
U1 0.333 0.667 0.250
U2 0.667 0.333 0.750
Cd1 0.333 0.667 0.750
Cd2 0.667 0.333 0.250
Br1 0.006 0.381 0.640
Br2 0.006 0.625 0.860
Br3 0.375 0.381 0.860
Br4 0.375 0.994 0.640
Br5 0.381 0.006 0.140
Br6 0.381 0.375 0.360
Br7 0.619 0.625 0.640
Br8 0.619 0.994 0.860
Br9 0.625 0.006 0.360
Br10 0.625 0.619 0.140
Br11 0.994 0.375 0.140
Br12 0.994 0.619 0.360
# ΔE_f (raw) ... -28.9 kcal/mol of atoms
# Density of states at the Fermi level ... 14.0 states/eV per cell
# Total magnetic moment ... 6.0 Bohr magnetons per cell
# Raw total energy ... -3.8329 eV/atom



Record 4
# CoPbBr5 (PBE, optimized geometry)
data_CoPbBr5
_chemical_formula_sum 'Co2 Pb2 Br10'
_space_group_name_H-M_alt 'P 1'
_space_group_IT_number 1
_space_group_name_Hall 'P 1'
_cell_length_a 7.674
_cell_length_b 7.674
_cell_length_c 10.539
_cell_angle_alpha 106.55
_cell_angle_beta 106.55
_cell_angle_gamma 101.09
loop_
_atom_site_label
_atom_site_fract_x
_atom_site_fract_y
_atom_site_fract_z
Co1 0.173 0.827 0.750
Co2 0.827 0.173 0.250
Pb1 0.500 0.500 0.000
Pb2 0.500 0.500 0.500
Br1 0.107 0.225 0.437
Br2 0.140 0.572 0.829
Br3 0.225 0.107 0.937
Br4 0.385 0.615 0.250
Br5 0.428 0.860 0.671
Br6 0.572 0.140 0.329
Br7 0.615 0.385 0.750
Br8 0.775 0.893 0.063
Br9 0.860 0.428 0.171
Br10 0.893 0.775 0.563
# ΔE_f (raw) ... -11.6 kcal/mol of atoms
# Density of states at the Fermi level ... 12.4 states/eV per cell
# Total magnetic moment ... 8.1 Bohr magnetons per cell
# Raw total energy ... -3.2412 eV/atom



Record 5
# AlFe2Ru (PBE, optimized geometry)
data_AlFe2Ru
_chemical_formula_sum 'Al2 Fe4 Ru2'
_space_group_name_H-M_alt 'P 1'
_space_group_IT_number 1
_space_group_name_Hall 'P 1'
_cell_length_a 5.081
_cell_length_b 7.636
_cell_length_c 2.639
_cell_angle_alpha 90.00
_cell_angle_beta 90.00
_cell_angle_gamma 90.00
loop_
_atom_site_label
_atom_site_fract_x
_atom_site_fract_y
_atom_site_fract_z
Al1 0.000 0.000 0.000
Al2 0.500 0.500 0.000
Fe1 0.250 0.250 0.500
Fe2 0.250 0.750 0.500
Fe3 0.750 0.250 0.500
Fe4 0.750 0.750 0.500
Ru1 0.000 0.500 0.000
Ru2 0.500 0.000 0.000
# Density of states at the Fermi level ... 8.8 states/eV per cell
# ΔE_f ... -88.1 meV per atom
# Total magnetic moment ... 8.6 Bohr magnetons per cell
# Raw total energy ... -7.5741 eV/atom



Record 6
# CePmScHg (PBE, optimized geometry)
data_CePmScHg
_chemical_formula_sum 'Ce4 Pm4 Sc4 Hg4'
_space_group_name_H-M_alt 'P 1'
_space_group_IT_number 1
_space_group_name_Hall 'P 1'
_cell_length_a 7.516
_cell_length_b 7.516
_cell_length_c 7.516
_cell_angle_alpha 90.00
_cell_angle_beta 90.00
_cell_angle_gamma 90.00
loop_
_atom_site_label
_atom_site_fract_x
_atom_site_fract_y
_atom_site_fract_z
Ce1 0.000 0.000 0.000
Ce2 0.000 0.500 0.500
Ce3 0.500 0.000 0.500
Ce4 0.500 0.500 0.000
Pm1 0.250 0.250 0.250
Pm2 0.250 0.750 0.750
Pm3 0.750 0.250 0.750
Pm4 0.750 0.750 0.250
Sc1 0.000 0.000 0.500
Sc2 0.000 0.500 0.000
Sc3 0.500 0.000 0.000
Sc4 0.500 0.500 0.500
Hg1 0.250 0.250 0.750
Hg2 0.250 0.750 0.250
Hg3 0.750 0.250 0.250
Hg4 0.750 0.750 0.750
# Density of states at the Fermi level ... 32.2 states/eV per cell
# ΔE_f ... -15.1 meV per atom
# Total magnetic moment ... 9.2 Bohr magnetons per cell
# Raw total energy ... -4.3446 eV/atom



Record 7
# AcTmMg2 (PBE, optimized geometry)
data_AcTmMg2
_chemical_formula_sum 'Ac3 Tm3 Mg6'
_space_group_name_H-M_alt 'P 1'
_space_group_IT_number 1
_space_group_name_Hall 'P 1'
_cell_length_a 3.646
_cell_length_b 3.646
_cell_length_c 33.093
_cell_angle_alpha 90.00
_cell_angle_beta 90.00
_cell_angle_gamma 120.00
loop_
_atom_site_label
_atom_site_fract_x
_atom_site_fract_y
_atom_site_fract_z
Ac1 0.000 0.000 0.000
Ac2 0.333 0.667 0.667
Ac3 0.667 0.333 0.333
Tm1 0.000 0.000 0.500
Tm2 0.333 0.667 0.167
Tm3 0.667 0.333 0.833
Mg1 0.000 0.000 0.244
Mg2 0.000 0.000 0.756
Mg3 0.333 0.667 0.422
Mg4 0.333 0.667 0.911
Mg5 0.667 0.333 0.089
Mg6 0.667 0.333 0.578
# Density of states at the Fermi level ... 12.7 states/eV per cell
# ΔE_f ... 96.3 meV per atom
# Total magnetic moment ... 0.0 Bohr magnetons per cell
# Raw total energy ... -2.8460 eV/atom



Record 8
# ReNiIr2 (PBE, optimized geometry)
data_ReNiIr2
_chemical_formula_sum 'Re2 Ni2 Ir4'
_space_group_name_H-M_alt 'P 1'
_space_group_IT_number 1
_space_group_name_Hall 'P 1'
_cell_length_a 8.948
_cell_length_b 2.700
_cell_length_c 4.649
_cell_angle_alpha 90.00
_cell_angle_beta 99.65
_cell_angle_gamma 90.00
loop_
_atom_site_label
_atom_site_fract_x
_atom_site_fract_y
_atom_site_fract_z
Re1 0.000 0.000 0.000
Re2 0.500 0.500 0.000
Ni1 0.000 0.500 0.500
Ni2 0.500 0.000 0.500
Ir1 0.248 0.500 0.252
Ir2 0.252 0.000 0.748
Ir3 0.748 0.000 0.252
Ir4 0.752 0.500 0.748
# Density of states at the Fermi level ... 7.1 states/eV per cell
# ΔE_f ... -63.3 meV per atom
# Total magnetic moment ... 0.0 Bohr magnetons per cell
# Energy relative to the lowest polymorph listed for this composition ... 0.082 eV/atom
# Raw total energy ... -9.0512 eV/atom



Question: Which value of total magnetic moment does entry 2 give?
Answer: 4.3 Bohr magnetons per cell